Record 1
# TaHg3As2Cl6

Crystalline TaHg3As2Cl6 at its relaxed geometry (GGA-PBE, Alexandria).

Lattice parameters (Å, degrees): 8.0490 7.3173 9.9796 111.51 128.89 90.00
Last column: magnetic moment on the atom in μB.
Atoms (fractional coordinates):
1 Cl 0.2497 0.0272 0.0544  0.01
2 Cl 0.2808 0.6505 0.7591  0.01
3 Cl 0.7192 0.3495 0.2409  0.01
4 Cl 0.7503 0.9728 0.9456  0.01
5 Cl 0.2808 0.1086 0.7591  0.01
6 Cl 0.7192 0.8914 0.2409  0.01
7 Hg 0.5000 0.5000 0.5000  0.02
8 Hg 0.5000 0.0000 0.5000  0.02
9 Hg 0.0000 0.5000 0.0000  0.03
10 As 0.2025 0.6819 0.3639  0.21
11 As 0.7975 0.3181 0.6361  0.21
12 Ta 0.5000 0.0000 0.0000  0.00

Values from the calculation:
Its calculated volume is 403.6 Å³ per cell. As for the total magnetic moment: 1.04 μB/cell. The calculation puts the formation energy (no corrections) at -0.703 eV/atom.



Record 2
# HgTeAsCl

Crystalline HgTeAsCl at its relaxed geometry (GGA-PBE, Alexandria).

Lattice parameters (Å, degrees): 3.9297 3.9297 9.1806 77.63 77.63 60.00
Atoms (fractional coordinates):
1 Cl 0.9323 0.9323 0.7674
2 As 0.1328 0.1328 0.1650
3 Te 0.5260 0.5260 0.9854
4 Hg 0.3660 0.3660 0.4661

Values from the calculation:
Its calculated volume is 119.0 Å³ per cell. As for the total magnetic moment: 0.00 μB/cell. The calculation puts the formation energy (no corrections) at -0.129 eV/atom.



Record 3
# TiHg6As4Cl7

Crystalline TiHg6As4Cl7 at its relaxed geometry (GGA-PBE, Alexandria).

Lattice parameters (Å, degrees): 12.5315 12.5315 12.5315 90.00 90.00 90.00
Last column: magnetic moment on the atom in μB.
Atoms (fractional coordinates):
1 Hg 0.1872 0.1916 0.9509  0.00
2 Hg 0.1872 0.3084 0.4509  0.00
3 Hg 0.1916 0.5491 0.6872  0.00
4 Hg 0.3128 0.8084 0.4509  0.00
5 Hg 0.3128 0.6916 0.9509  0.00
6 Hg 0.9509 0.1872 0.1916  0.00
7 Hg 0.0491 0.8128 0.8084  0.00
8 Hg 0.6916 0.9509 0.3128  0.00
9 Hg 0.0491 0.6872 0.3084  0.00
10 Hg 0.4509 0.1872 0.3084  0.00
11 Hg 0.8128 0.6916 0.5491  0.00
12 Hg 0.8084 0.0491 0.8128  0.00
13 Hg 0.6872 0.3084 0.0491  0.00
14 Hg 0.1916 0.9509 0.1872  0.00
15 Hg 0.4509 0.3128 0.8084  0.00
16 Hg 0.9509 0.3128 0.6916  0.00
17 Hg 0.3084 0.0491 0.6872  0.00
18 Hg 0.6872 0.1916 0.5491  0.00
19 Hg 0.5491 0.6872 0.1916  0.00
20 Hg 0.5491 0.8128 0.6916  0.00
21 Hg 0.6916 0.5491 0.8128  0.00
22 Hg 0.8084 0.4509 0.3128  0.00
23 Hg 0.8128 0.8084 0.0491  0.00
24 Hg 0.3084 0.4509 0.1872  0.00
25 As 0.1483 0.3517 0.6483  0.00
26 As 0.2647 0.2353 0.7647  0.00
27 As 0.6483 0.1483 0.3517  0.00
28 As 0.7353 0.7353 0.7353  0.00
29 As 0.8517 0.6483 0.3517  0.00
30 As 0.6483 0.3517 0.8517  0.00
31 As 0.7647 0.2353 0.7353  0.00
32 As 0.7353 0.7647 0.2353  0.00
33 As 0.8517 0.8517 0.8517  0.00
34 As 0.7647 0.2647 0.2353  0.00
35 As 0.2353 0.7647 0.2647  0.00
36 As 0.3517 0.6483 0.1483  0.00
37 As 0.3517 0.8517 0.6483  0.00
38 As 0.1483 0.1483 0.1483  0.00
39 As 0.2647 0.2647 0.2647  0.00
40 As 0.2353 0.7353 0.7647  0.00
41 Ti 0.0000 0.5000 0.0000  0.15
42 Ti 0.0000 0.0000 0.5000  0.15
43 Ti 0.5000 0.5000 0.5000  0.15
44 Ti 0.5000 0.0000 0.0000  0.15
45 Cl 0.4619 0.5467 0.6800  0.00
46 Cl 0.5381 0.0467 0.8200  0.00
47 Cl 0.0000 0.5000 0.5000  0.00
48 Cl 0.8200 0.5381 0.0467  0.00
49 Cl 0.4533 0.3200 0.5381  0.00
50 Cl 0.0381 0.4533 0.1800  0.00
51 Cl 0.6800 0.0381 0.0467  0.00
52 Cl 0.4533 0.1800 0.0381  0.00
53 Cl 0.0381 0.0467 0.6800  0.00
54 Cl 0.1800 0.0381 0.4533  0.00
55 Cl 0.9533 0.1800 0.4619  0.00
56 Cl 0.0467 0.8200 0.5381  0.00
57 Cl 0.1800 0.4619 0.9533  0.00
58 Cl 0.9533 0.3200 0.9619  0.00
59 Cl 0.5467 0.6800 0.4619  0.00
60 Cl 0.5000 0.0000 0.5000  0.00
61 Cl 0.5467 0.8200 0.9619  0.00
62 Cl 0.5381 0.4533 0.3200  0.00
63 Cl 0.9619 0.5467 0.8200  0.00
64 Cl 0.4619 0.9533 0.1800  0.00
65 Cl 0.0000 0.0000 0.0000  0.00
66 Cl 0.8200 0.9619 0.5467  0.00
67 Cl 0.5000 0.5000 0.0000  0.00
68 Cl 0.9619 0.9533 0.3200  0.00
69 Cl 0.6800 0.4619 0.5467  0.00
70 Cl 0.3200 0.5381 0.4533  0.00
71 Cl 0.0467 0.6800 0.0381  0.00
72 Cl 0.3200 0.9619 0.9533  0.00

Values from the calculation:
Its calculated volume is 1967.9 Å³ per cell. As for the total magnetic moment: 0.67 μB/cell. The calculation puts the formation energy (no corrections) at -0.624 eV/atom.